[1]
# CsP2Ir PBE-GGA optimized geometry
# polymorph energy (0 for the lowest one) = 5.239 eV/f.u.
data_CsP2Ir
_chemical_formula_sum 'Cs4 P8 Ir4'
_cell_length_a 6.822
_cell_length_b 6.822
_cell_length_c 6.822
_cell_angle_alpha 90.00
_cell_angle_beta 90.00
_cell_angle_gamma 90.00
_space_group_name_H-M_alt 'F m -3 m'
_space_group_IT_number 225
_space_group_name_Hall '-F 4 2 3'
loop_
_atom_site_label
_atom_site_fract_x
_atom_site_fract_y
_atom_site_fract_z
Cs1 0.000 0.000 0.000
P1 0.250 0.250 0.250
Ir1 0.000 0.000 0.500



[2]
Density functional theory data (PBE-GGA) for crystalline CsP2Ir2 at its relaxed geometry.

```
data_CsP2Ir2
_chemical_formula_sum 'Cs2 P4 Ir4'
_cell_length_a 4.253
_cell_length_b 4.253
_cell_length_c 13.647
_cell_angle_alpha 90.00
_cell_angle_beta 90.00
_cell_angle_gamma 90.00
_space_group_name_H-M_alt 'I 4/m m m'
_space_group_IT_number 139
_space_group_name_Hall '-I 4 2'
loop_
_atom_site_label
_atom_site_fract_x
_atom_site_fract_y
_atom_site_fract_z
Cs1 0.000 0.000 0.000
P1 0.000 0.500 0.250
Ir1 0.000 0.000 0.321
```



[3]
Density functional theory data (PBE-GGA) for crystalline CsPIr2 at its relaxed geometry.

```
data_CsPIr2
_chemical_formula_sum 'Cs4 P4 Ir8'
_cell_length_a 7.404
_cell_length_b 7.404
_cell_length_c 7.494
_cell_angle_alpha 90.00
_cell_angle_beta 90.00
_cell_angle_gamma 90.00
_space_group_name_H-M_alt 'I -4 2 d'
_space_group_IT_number 122
_space_group_name_Hall 'I -4 2bw'
loop_
_atom_site_label
_atom_site_fract_x
_atom_site_fract_y
_atom_site_fract_z
Cs1 0.000 0.000 0.000
P1 0.000 0.000 0.500
Ir1 0.108 0.250 0.625
```



[4]
# CsP2Ir PBE-GGA optimized geometry
# polymorph energy (0 for the lowest one) = 0.000 eV/f.u.
data_CsP2Ir
_chemical_formula_sum 'Cs4 P8 Ir4'
_cell_length_a 7.185
_cell_length_b 7.185
_cell_length_c 9.021
_cell_angle_alpha 90.00
_cell_angle_beta 90.00
_cell_angle_gamma 90.00
_space_group_name_H-M_alt 'I -4 2 d'
_space_group_IT_number 122
_space_group_name_Hall 'I -4 2bw'
loop_
_atom_site_label
_atom_site_fract_x
_atom_site_fract_y
_atom_site_fract_z
Cs1 0.000 0.000 0.000
P1 0.106 0.250 0.625
Ir1 0.000 0.000 0.500



Number 1: formation energy 4.2 eV/f.u., DFT total energy -4.07 eV/atom, mass density 8.099 g/cm3. Number 2: formation energy -1.0 eV/f.u., DFT total energy -6.08 eV/atom, mass density 7.795 g/cm3. Number 3: formation energy 1.5 eV/f.u., DFT total energy -5.62 eV/atom, mass density 8.864 g/cm3. Number 4: formation energy -1.0 eV/f.u., DFT total energy -5.38 eV/atom, mass density 5.520 g/cm3.